The following is a DFT calculation (PBE-GGA) of a geometry-optimized LiCo2Re structure.

The space group is P4/mmm (No. 123) and the conventional cell measures 2.7235, 2.7235 and 6.3392 Å, with angles of 90.00, 90.00 and 90.00 degrees. The asymmetric unit holds Li at (0.0000, 0.0000, 0.0000), Co at (0.5000, 0.5000, 0.2409) and Re at (0.0000, 0.0000, 0.5000).

For the energy above the most stable polymorph in this dataset, the calculation gives 0.0 meV/atom. The calculation puts the formation enthalpy at 0 K at 148 meV/atom. The calculation puts the magnetic moment at 0.00 μB per formula unit.